Entry 1:
DFT (GGA-PBE) results for a relaxed VP2Os crystal.

Results
VASP energy = -31.1 eV per formula unit
Calculated volume = 132.5 Å³ per cell
Total magnetization = 0.00 μB per formula unit
Calculated formation energy = 0.0178 eV/atom
Energy above the most stable polymorph in this dataset = 105 kJ/mol of formula units
SG = I-42d, No. 122

Geometry as POSCAR:
```
VP2Os
1.0
-4.159 1.450 -0.395
0.271 -0.419 -4.394
-4.209 -5.854 -1.926
P Os V
4 2 2
direct
0.631 0.125 0.250 P
0.119 0.625 0.250 P
0.375 0.369 0.750 P
0.875 0.881 0.750 P
0.000 0.000 0.000 Os
0.750 0.250 0.500 Os
0.500 0.500 0.000 V
0.250 0.750 0.500 V
```

---

Entry 2:
DFT (GGA-PBE) results for a relaxed V2POs crystal.

Results
VASP energy = -34.4 eV per formula unit
Calculated volume = 113.8 Å³ per cell
Total magnetization = 0.00 μB per formula unit
Calculated formation energy = 0.1317 eV/atom
SG = I-42d, No. 122

Geometry as POSCAR:
```
V2POs
1.0
-6.390 0.559 1.501
0.302 -5.642 3.387
-2.418 -1.207 4.611
P Os V
2 2 4
direct
0.500 0.500 0.000 P
0.250 0.750 0.500 P
0.000 0.000 0.000 Os
0.750 0.250 0.500 Os
0.600 0.125 0.250 V
0.150 0.625 0.250 V
0.375 0.400 0.750 V
0.875 0.850 0.750 V
```

---

Entry 3:
DFT (GGA-PBE) results for a relaxed VP2Os crystal.

Results
VASP energy = -32.2 eV per formula unit
Calculated volume = 50.4 Å³ per cell
Total magnetization = 0.00 μB per formula unit
Calculated formation energy = -0.2535 eV/atom
Energy above the most stable polymorph in this dataset = 0 kJ/mol of formula units
SG = Fm-3m, No. 225

Geometry as POSCAR:
```
VP2Os
1.0
0.000 2.931 2.931
2.931 0.000 2.931
2.931 2.931 0.000
P Os V
2 1 1
direct
0.250 0.250 0.250 P
0.750 0.750 0.750 P
0.500 0.500 0.500 Os
0.000 0.000 0.000 V
```